A plane-wave DFT calculation with PBE was carried out for an optimized crystal structure of Sr3Li2Ho2Tl4.

Structure (extended XYZ):
```
11
Lattice="5.248 0.000 0.000 -2.624 4.545 0.000 0.000 0.000 14.961" Properties=species:S:1:pos:R:3 pbc="T T T"
Sr 0.000 0.000 0.000
Ho 2.624 1.515 6.444
Tl 2.624 1.515 9.519
Tl 2.624 1.515 2.048
Tl 0.000 3.030 12.913
Sr 0.000 0.000 11.015
Li 0.000 3.030 2.239
Sr 0.000 0.000 3.946
Ho 0.000 3.030 8.517
Li 2.624 1.515 12.722
Tl 0.000 3.030 5.442
```

Values from the calculation:
Final energy in eV per atom: -2.6768
Volume in Å³ per cell: 356.9
DOS(E_F) in states/eV per cell: 10.0
Total magnetic moment in Bohr magnetons per cell: 0.00
Energy of formation from the pure elements in eV/atom: -0.177